(1)
VASP calculation (GGA-PBE) on crystalline CaTbMgCu at its relaxed geometry.

Lattice parameters (Å, degrees): 5.209 5.209 5.209 60.00 60.00 60.00
Sites, in units of the cell vectors:
Ca  0.000  0.000  0.000
Tb  0.500  0.500  0.500
Mg  0.750  0.750  0.750
Cu  0.250  0.250  0.250

* space group: F-43m, No. 216
* crystal system: cubic

***

(2)
VASP calculation (GGA-PBE) on crystalline CaMg2TlCu at its relaxed geometry.

Lattice parameters (Å, degrees): 4.994 4.994 5.413 90.00 90.00 90.00
Sites, in units of the cell vectors:
Ca  0.000  0.000  0.000
Mg  0.000  0.500  0.500
Mg  0.500  0.000  0.500
Tl  0.500  0.500  0.000
Cu  0.000  0.000  0.500

* space group: P4/mmm, No. 123
* crystal system: tetragonal

***

(3)
VASP calculation (GGA-PBE) on crystalline CaTmMgCu at its relaxed geometry.

Lattice parameters (Å, degrees): 5.165 5.165 5.165 60.00 60.00 60.00
Sites, in units of the cell vectors:
Ca  0.000  0.000  0.000
Tm  0.500  0.500  0.500
Mg  0.750  0.750  0.750
Cu  0.250  0.250  0.250

* space group: F-43m, No. 216
* crystal system: cubic

***

(4)
VASP calculation (GGA-PBE) on crystalline CaYMg2Cu at its relaxed geometry.

Lattice parameters (Å, degrees): 5.127 5.127 5.241 90.00 90.00 90.00
Sites, in units of the cell vectors:
Ca  0.000  0.000  0.000
Y  0.500  0.500  0.000
Mg  0.000  0.500  0.500
Mg  0.500  0.000  0.500
Cu  0.500  0.500  0.500

* space group: P4/mmm, No. 123
* crystal system: tetragonal

***

(5)
VASP calculation (GGA-PBE) on crystalline Ca2MgZn5Cu2 at its relaxed geometry.

Lattice parameters (Å, degrees): 9.900 9.900 3.802 90.00 90.00 90.00
Sites, in units of the cell vectors:
Ca  0.182  0.318  0.000
Ca  0.318  0.818  0.000
Ca  0.682  0.182  0.000
Ca  0.818  0.682  0.000
Mg  0.000  0.000  0.000
Mg  0.500  0.500  0.000
Zn  0.000  0.500  0.500
Zn  0.057  0.788  0.500
Zn  0.212  0.057  0.500
Zn  0.288  0.557  0.500
Zn  0.443  0.288  0.500
Zn  0.500  0.000  0.500
Zn  0.557  0.712  0.500
Zn  0.712  0.443  0.500
Zn  0.788  0.943  0.500
Zn  0.943  0.212  0.500
Cu  0.115  0.615  0.000
Cu  0.385  0.115  0.000
Cu  0.615  0.885  0.000
Cu  0.885  0.385  0.000

* space group: P4/mbm, No. 127
* crystal system: tetragonal

***

(6)
VASP calculation (GGA-PBE) on crystalline Ca2MgZn12Cu3 at its relaxed geometry.

Lattice parameters (Å, degrees): 7.583 7.583 7.583 71.93 71.93 71.93
Sites, in units of the cell vectors:
Ca  0.103  0.103  0.103
Ca  0.897  0.897  0.897
Mg  0.500  0.500  0.500
Zn  0.136  0.645  0.645
Zn  0.201  0.201  0.664
Zn  0.201  0.664  0.201
Zn  0.336  0.799  0.799
Zn  0.355  0.355  0.864
Zn  0.355  0.864  0.355
Zn  0.645  0.136  0.645
Zn  0.645  0.645  0.136
Zn  0.664  0.201  0.201
Zn  0.799  0.336  0.799
Zn  0.799  0.799  0.336
Zn  0.864  0.355  0.355
Cu  0.000  0.500  0.500
Cu  0.500  0.000  0.500
Cu  0.500  0.500  0.000

* space group: R-3m, No. 166
* crystal system: trigonal

***

(7)
VASP calculation (GGA-PBE) on crystalline Ca2MgZn2Cu5 at its relaxed geometry.

Lattice parameters (Å, degrees): 9.653 9.653 3.765 90.00 90.00 90.00
Sites, in units of the cell vectors:
Ca  0.179  0.321  0.000
Ca  0.321  0.821  0.000
Ca  0.679  0.179  0.000
Ca  0.821  0.679  0.000
Mg  0.000  0.000  0.000
Mg  0.500  0.500  0.000
Zn  0.118  0.618  0.000
Zn  0.382  0.118  0.000
Zn  0.618  0.882  0.000
Zn  0.882  0.382  0.000
Cu  0.000  0.500  0.500
Cu  0.058  0.792  0.500
Cu  0.208  0.058  0.500
Cu  0.292  0.558  0.500
Cu  0.442  0.292  0.500
Cu  0.500  0.000  0.500
Cu  0.558  0.708  0.500
Cu  0.708  0.442  0.500
Cu  0.792  0.942  0.500
Cu  0.942  0.208  0.500

* space group: P4/mbm, No. 127
* crystal system: tetragonal

***

(8)
VASP calculation (GGA-PBE) on crystalline CaMg2ZnCu at its relaxed geometry.

Lattice parameters (Å, degrees): 4.918 4.918 4.772 90.00 90.00 90.00
Sites, in units of the cell vectors:
Ca  0.000  0.000  0.000
Mg  0.000  0.500  0.500
Mg  0.500  0.000  0.500
Zn  0.500  0.500  0.000
Cu  0.500  0.500  0.500

* space group: P4/mmm, No. 123
* crystal system: tetragonal

***

(9)
VASP calculation (GGA-PBE) on crystalline Ca2MgZnCu at its relaxed geometry.

Lattice parameters (Å, degrees): 5.547 5.547 4.634 90.00 90.00 90.00
Sites, in units of the cell vectors:
Ca  0.000  0.500  0.000
Ca  0.500  0.000  0.000
Mg  0.000  0.000  0.500
Zn  0.500  0.500  0.500
Cu  0.500  0.500  0.000

* space group: P4/mmm, No. 123
* crystal system: tetragonal

***

(10)
VASP calculation (GGA-PBE) on crystalline Ca2MgZn3Cu12 at its relaxed geometry.

Lattice parameters (Å, degrees): 6.537 6.537 6.537 84.58 84.58 84.58
Sites, in units of the cell vectors:
Ca  0.207  0.207  0.207
Ca  0.793  0.793  0.793
Mg  0.500  0.500  0.500
Zn  0.000  0.500  0.500
Zn  0.500  0.000  0.500
Zn  0.500  0.500  0.000
Cu  0.085  0.085  0.636
Cu  0.085  0.636  0.085
Cu  0.216  0.700  0.700
Cu  0.300  0.300  0.784
Cu  0.300  0.784  0.300
Cu  0.364  0.915  0.915
Cu  0.636  0.085  0.085
Cu  0.700  0.216  0.700
Cu  0.700  0.700  0.216
Cu  0.784  0.300  0.300
Cu  0.915  0.364  0.915
Cu  0.915  0.915  0.364

* space group: R-3m, No. 166
* crystal system: trigonal

***

(11)
VASP calculation (GGA-PBE) on crystalline CaMnCu2 at its relaxed geometry.

Lattice parameters (Å, degrees): 8.571 8.571 8.571 21.40 21.40 21.40
Sites, in units of the cell vectors:
Ca  0.000  0.000  0.000
Mn  0.500  0.500  0.500
Cu  0.239  0.239  0.239
Cu  0.761  0.761  0.761

* space group: R-3m, No. 166
* crystal system: trigonal

***

(12)
VASP calculation (GGA-PBE) on crystalline CaMnCu2 at its relaxed geometry.

Lattice parameters (Å, degrees): 4.232 4.232 5.600 112.44 112.44 60.05
Sites, in units of the cell vectors:
Ca  0.000  0.000  0.000
Mn  0.193  0.193  0.583
Cu  0.502  0.502  0.510
Cu  0.804  0.804  0.417

* space group: Cm, No. 8
* crystal system: monoclinic

***

(13)
VASP calculation (GGA-PBE) on crystalline CaMnCu2 at its relaxed geometry.

Lattice parameters (Å, degrees): 3.260 3.260 6.583 90.00 90.00 90.00
Sites, in units of the cell vectors:
Ca  0.000  0.000  0.000
Mn  0.000  0.000  0.500
Cu  0.500  0.500  0.309
Cu  0.500  0.500  0.691

* space group: P4/mmm, No. 123
* crystal system: tetragonal

***

Listing magnetic moment for the structures above in their given order: 0.0, 0.0, 0.0, 0.0, 0.0, 0.0, 0.0, 0.0, 0.0, 0.0, 4.1, 3.6, 4.1 μB/f.u..
Listing total energy for the structures above in their given order: -12.37, -11.66, -12.16, -15.59, -43.71, -29.45, -58.70, -10.62, -10.81, -57.21, -17.48, -18.86, -18.87 eV per cell.